Density functional theory data (PBE-GGA) for GaP2H after structural relaxation.

* total magnetization: 0.00 μB/cell
* energy relative to the lowest polymorph listed for this composition: 479 meV per atom
* crystal system: tetragonal
* mass density: 3.7 g/cm³
* uncorrected energy: -15.48 eV/f.u.

Geometry as CIF:
```
data_GaP2H
_cell_length_a 4.477
_cell_length_b 4.477
_cell_length_c 11.936
_cell_angle_alpha 90.00
_cell_angle_beta 90.00
_cell_angle_gamma 90.00
_space_group_name_H-M_alt 'I -4 2 d'
_space_group_IT_number 122
_space_group_name_Hall 'I -4 2bw'
loop_
_atom_site_label
_atom_site_fract_x
_atom_site_fract_y
_atom_site_fract_z
_atom_site_occupancy
Ga1 0.000 0.000 0.000 1
P1 0.129 0.250 0.625 1
H1 0.000 0.000 0.500 1
```

Density functional theory data (PBE-GGA) for GaP2H after structural relaxation.

* total magnetization: 0.00 μB/cell
* energy relative to the lowest polymorph listed for this composition: 10 meV per atom
* crystal system: monoclinic
* mass density: 3.2 g/cm³
* uncorrected energy: -17.36 eV/f.u.

Geometry as CIF:
```
data_GaP2H
_cell_length_a 9.816
_cell_length_b 5.326
_cell_length_c 5.449
_cell_angle_alpha 90.00
_cell_angle_beta 103.44
_cell_angle_gamma 90.00
_space_group_name_H-M_alt 'C 1 2 1'
_space_group_IT_number 5
loop_
_space_group_symop_operation_xyz
'x,y,z'
'-x,y,-z'
'x+1/2,y+1/2,z'
'-x+1/2,y+1/2,-z'
loop_
_atom_site_label
_atom_site_fract_x
_atom_site_fract_y
_atom_site_fract_z
_atom_site_occupancy
Ga1 0.238 0.000 0.231 1
P1 0.118 0.166 0.835 1
P2 0.121 0.865 0.565 1
H1 0.000 0.571 0.000 1
H2 0.000 0.713 0.000 1
```

Density functional theory data (PBE-GGA) for GaP2H after structural relaxation.

* total magnetization: 0.00 μB/cell
* energy relative to the lowest polymorph listed for this composition: 0 meV per atom
* crystal system: monoclinic
* mass density: 3.1 g/cm³
* uncorrected energy: -17.40 eV/f.u.

Geometry as CIF:
```
data_GaP2H
_cell_length_a 11.251
_cell_length_b 4.999
_cell_length_c 5.102
_cell_angle_alpha 90.00
_cell_angle_beta 98.67
_cell_angle_gamma 90.00
_space_group_name_H-M_alt 'C 1 2 1'
_space_group_IT_number 5
loop_
_space_group_symop_operation_xyz
'x,y,z'
'-x,y,-z'
'x+1/2,y+1/2,z'
'-x+1/2,y+1/2,-z'
loop_
_atom_site_label
_atom_site_fract_x
_atom_site_fract_y
_atom_site_fract_z
_atom_site_occupancy
Ga1 0.114 0.000 0.065 1
P1 0.136 0.651 0.404 1
P2 0.245 0.848 0.741 1
H1 0.000 0.094 0.500 1
H2 0.000 0.247 0.500 1
```

Density functional theory data (PBE-GGA) for GaPH after structural relaxation.

* total magnetization: 0.00 μB/cell
* energy relative to the lowest polymorph listed for this composition: 226 meV per atom
* crystal system: monoclinic
* mass density: 3.8 g/cm³
* uncorrected energy: -11.62 eV/f.u.

Geometry as CIF:
```
data_GaPH
_cell_length_a 5.032
_cell_length_b 3.925
_cell_length_c 5.074
_cell_angle_alpha 90.00
_cell_angle_beta 117.56
_cell_angle_gamma 90.00
_space_group_name_H-M_alt 'P 1 m 1'
_space_group_IT_number 6
loop_
_space_group_symop_operation_xyz
'x,y,z'
'x,-y,z'
loop_
_atom_site_label
_atom_site_fract_x
_atom_site_fract_y
_atom_site_fract_z
_atom_site_occupancy
Ga1 0.000 0.000 0.000 1
Ga2 0.387 0.000 0.588 1
P1 0.241 0.500 0.820 1
P2 0.700 0.500 0.183 1
H1 0.670 0.238 0.369 1
```

Density functional theory data (PBE-GGA) for GaP2H after structural relaxation.

* total magnetization: 0.00 μB/cell
* energy relative to the lowest polymorph listed for this composition: 7 meV per atom
* crystal system: triclinic
* mass density: 3.3 g/cm³
* uncorrected energy: -17.37 eV/f.u.

Geometry as CIF:
```
data_GaP2H
_cell_length_a 3.921
_cell_length_b 3.948
_cell_length_c 5.312
_cell_angle_alpha 93.42
_cell_angle_beta 107.97
_cell_angle_gamma 118.87
_space_group_name_H-M_alt 'P 1'
_space_group_IT_number 1
loop_
_space_group_symop_operation_xyz
'x,y,z'
loop_
_atom_site_label
_atom_site_fract_x
_atom_site_fract_y
_atom_site_fract_z
_atom_site_occupancy
Ga1 0.000 0.000 0.000 1
P1 0.427 0.724 0.173 1
P2 0.469 0.924 0.587 1
H1 0.154 0.533 0.583 1
```

Density functional theory data (PBE-GGA) for GaPH after structural relaxation.

* total magnetization: 0.00 μB/cell
* energy relative to the lowest polymorph listed for this composition: 95 meV per atom
* crystal system: triclinic
* mass density: 3.1 g/cm³
* uncorrected energy: -12.02 eV/f.u.

Geometry as CIF:
```
data_GaPH
_cell_length_a 3.950
_cell_length_b 4.561
_cell_length_c 6.371
_cell_angle_alpha 70.64
_cell_angle_beta 89.47
_cell_angle_gamma 89.11
_space_group_name_H-M_alt 'P -1'
_space_group_IT_number 2
loop_
_space_group_symop_operation_xyz
'x,y,z'
'-x,-y,-z'
loop_
_atom_site_label
_atom_site_fract_x
_atom_site_fract_y
_atom_site_fract_z
_atom_site_occupancy
Ga1 0.002 0.293 0.412 1
P1 0.495 0.657 0.824 1
H1 0.487 0.938 0.875 1
```

Density functional theory data (PBE-GGA) for GaPH after structural relaxation.

* total magnetization: 0.00 μB/cell
* energy relative to the lowest polymorph listed for this composition: 244 meV per atom
* crystal system: monoclinic
* mass density: 3.8 g/cm³
* uncorrected energy: -11.57 eV/f.u.

Geometry as CIF:
```
data_GaPH
_cell_length_a 5.229
_cell_length_b 8.621
_cell_length_c 3.966
_cell_angle_alpha 90.00
_cell_angle_beta 91.36
_cell_angle_gamma 90.00
_space_group_name_H-M_alt 'C 1 m 1'
_space_group_IT_number 8
loop_
_space_group_symop_operation_xyz
'x,y,z'
'x,-y,z'
'x+1/2,y+1/2,z'
'x+1/2,-y+1/2,z'
loop_
_atom_site_label
_atom_site_fract_x
_atom_site_fract_y
_atom_site_fract_z
_atom_site_occupancy
Ga1 0.000 0.196 0.000 1
P1 0.045 0.000 0.506 1
P2 0.457 0.000 0.625 1
H1 0.031 0.380 0.388 1
```

Density functional theory data (PBE-GGA) for GaPH after structural relaxation.

* total magnetization: 0.00 μB/cell
* energy relative to the lowest polymorph listed for this composition: 364 meV per atom
* crystal system: orthorhombic
* mass density: 3.6 g/cm³
* uncorrected energy: -11.21 eV/f.u.

Geometry as CIF:
```
data_GaPH
_cell_length_a 2.745
_cell_length_b 3.813
_cell_length_c 4.463
_cell_angle_alpha 90.00
_cell_angle_beta 90.00
_cell_angle_gamma 90.00
_space_group_name_H-M_alt 'P m m 2'
_space_group_IT_number 25
loop_
_space_group_symop_operation_xyz
'x,y,z'
'-x,-y,z'
'-x,y,z'
'x,-y,z'
loop_
_atom_site_label
_atom_site_fract_x
_atom_site_fract_y
_atom_site_fract_z
_atom_site_occupancy
Ga1 0.000 0.000 0.000 1
P1 0.000 0.500 0.690 1
H1 0.500 0.000 0.235 1
```

Density functional theory data (PBE-GGA) for GaP2H after structural relaxation.

* total magnetization: 0.00 μB/cell
* energy relative to the lowest polymorph listed for this composition: 63 meV per atom
* crystal system: monoclinic
* mass density: 3.1 g/cm³
* uncorrected energy: -17.14 eV/f.u.

Geometry as CIF:
```
data_GaP2H
_cell_length_a 5.175
_cell_length_b 4.876
_cell_length_c 5.563
_cell_angle_alpha 90.00
_cell_angle_beta 90.36
_cell_angle_gamma 90.00
_space_group_name_H-M_alt 'P 1 21 1'
_space_group_IT_number 4
loop_
_space_group_symop_operation_xyz
'x,y,z'
'-x,y+1/2,-z'
loop_
_atom_site_label
_atom_site_fract_x
_atom_site_fract_y
_atom_site_fract_z
_atom_site_occupancy
Ga1 0.048 0.000 0.145 1
P1 0.241 0.693 0.519 1
P2 0.399 0.344 0.314 1
H1 0.480 0.984 0.883 1
```

Density functional theory data (PBE-GGA) for GaP2H after structural relaxation.

* total magnetization: 0.00 μB/cell
* energy relative to the lowest polymorph listed for this composition: 49 meV per atom
* crystal system: triclinic
* mass density: 2.9 g/cm³
* uncorrected energy: -17.20 eV/f.u.

Geometry as CIF:
```
data_GaP2H
_cell_length_a 5.417
_cell_length_b 5.417
_cell_length_c 6.246
_cell_angle_alpha 109.48
_cell_angle_beta 105.34
_cell_angle_gamma 107.94
_space_group_name_H-M_alt 'P 1'
_space_group_IT_number 1
loop_
_space_group_symop_operation_xyz
'x,y,z'
loop_
_atom_site_label
_atom_site_fract_x
_atom_site_fract_y
_atom_site_fract_z
_atom_site_occupancy
Ga1 0.000 0.000 0.000 1
Ga2 0.274 0.182 0.455 1
P1 0.214 0.551 0.765 1
P2 0.285 0.972 0.759 1
P3 0.730 0.284 0.016 1
P4 0.787 0.474 0.759 1
H1 0.600 0.731 0.323 1
H2 0.626 0.839 0.450 1
```

Density functional theory data (PBE-GGA) for GaPH after structural relaxation.

* total magnetization: 0.00 μB/cell
* energy relative to the lowest polymorph listed for this composition: 305 meV per atom
* crystal system: monoclinic
* mass density: 3.8 g/cm³
* uncorrected energy: -11.39 eV/f.u.

Geometry as CIF:
```
data_GaPH
_cell_length_a 6.057
_cell_length_b 4.314
_cell_length_c 3.706
_cell_angle_alpha 90.00
_cell_angle_beta 114.14
_cell_angle_gamma 90.00
_space_group_name_H-M_alt 'C 1 m 1'
_space_group_IT_number 8
loop_
_space_group_symop_operation_xyz
'x,y,z'
'x,-y,z'
'x+1/2,y+1/2,z'
'x+1/2,-y+1/2,z'
loop_
_atom_site_label
_atom_site_fract_x
_atom_site_fract_y
_atom_site_fract_z
_atom_site_occupancy
Ga1 0.000 0.000 0.000 1
P1 0.311 0.000 0.693 1
H1 0.488 0.000 0.516 1
```

Density functional theory data (PBE-GGA) for GaPH2 after structural relaxation.

* total magnetization: 0.00 μB/cell
* energy relative to the lowest polymorph listed for this composition: 0 meV per atom
* crystal system: tetragonal
* mass density: 3.4 g/cm³
* uncorrected energy: -13.55 eV/f.u.

Geometry as CIF:
```
data_GaPH2
_cell_length_a 4.381
_cell_length_b 4.381
_cell_length_c 10.364
_cell_angle_alpha 90.00
_cell_angle_beta 90.00
_cell_angle_gamma 90.00
_space_group_name_H-M_alt 'I 41/a m d'
_space_group_IT_number 141
loop_
_space_group_symop_operation_xyz
'x,y,z'
'-x,-y,-z'
'-y+1/4,x+3/4,z+1/4'
'y+1/4,-x+3/4,-z+1/4'
'-x+1/2,-y,z+1/2'
'x+1/2,y,-z+1/2'
'y+1/4,-x+1/4,z+3/4'
'-y+1/4,x+1/4,-z+3/4'
'x,-y,-z'
'-x,y,z'
'-y+1/4,-x+1/4,-z+3/4'
'y+1/4,x+1/4,z+3/4'
'-x+1/2,y,-z+1/2'
'x+1/2,-y,z+1/2'
'y+1/4,x+3/4,-z+1/4'
'-y+1/4,-x+3/4,z+1/4'
'x+1/2,y+1/2,z+1/2'
'-x+1/2,-y+1/2,-z+1/2'
'-y+3/4,x+1/4,z+3/4'
'y+3/4,-x+1/4,-z+3/4'
'-x,-y+1/2,z'
'x,y+1/2,-z'
'y+3/4,-x+3/4,z+1/4'
'-y+3/4,x+3/4,-z+1/4'
'x+1/2,-y+1/2,-z+1/2'
'-x+1/2,y+1/2,z+1/2'
'-y+3/4,-x+3/4,-z+1/4'
'y+3/4,x+3/4,z+1/4'
'-x,y+1/2,-z'
'x,-y+1/2,z'
'y+3/4,x+1/4,-z+3/4'
'-y+3/4,-x+1/4,z+3/4'
loop_
_atom_site_label
_atom_site_fract_x
_atom_site_fract_y
_atom_site_fract_z
_atom_site_occupancy
Ga1 0.000 0.250 0.375 1
P1 0.000 0.250 0.875 1
H1 0.000 0.000 0.000 1
```